{
  "formula": "SmDy4Er2Th",
  "functional": "PBE",
  "state": "optimized geometry",
  "lattice_angstrom": [[5.033, 0.000, 0.000], [0.000, 4.934, 0.935], [0.000, 3.063, 10.782]],
  "species": ["Dy", "Dy", "Dy", "Dy", "Er", "Er", "Sm", "Th"],
  "frac_coords": [[0.000, 0.248, 0.252], [0.000, 0.752, 0.748], [0.500, 0.747, 0.253], [0.500, 0.253, 0.747], [0.000, 0.000, 0.000], [0.500, 0.000, 0.500], [0.500, 0.500, 0.000], [0.000, 0.500, 0.500]],
  "magnetic_moment_mub_per_fu": 0.00,
  "space_group": "Pmmm",
  "density_g_cm3": 8.96,
  "e_tot_ev_per_atom": -4.929,
  "formation_enthalpy_0k_mev_per_atom": 31
}